[1]
Below is a relaxed SmTm2Th crystal, with properties calculated at the GGA-PBE level.

a b c (Å): 6.0960 6.0960 3.5594
angles (deg): 90.00 90.00 108.40
Atoms (fractional coordinates):
Sm 0.0000 0.0000 0.0000
Tm 0.0000 0.5000 0.5000
Tm 0.5000 0.0000 0.5000
Th 0.5000 0.5000 0.0000

Output
- Total DFT energy (no corrections): -5.250 eV per atom
- ΔE_f: 21 meV per atom
- Space-group type: Cmmm, No. 65


[2]
Below is a relaxed PSe4Cl6 crystal, with properties calculated at the GGA-PBE level.

a b c (Å): 11.2501 11.2501 11.7253
angles (deg): 90.00 90.00 90.00
Atoms (fractional coordinates):
P 0.0000 0.0000 0.0000
P 0.0000 0.5000 0.5000
P 0.5000 0.0000 0.5000
P 0.5000 0.5000 0.0000
Se 0.0980 0.0980 0.4482
Se 0.0980 0.4020 0.9482
Se 0.1055 0.6055 0.0000
Se 0.1055 0.8945 0.5000
Se 0.3945 0.6055 0.5000
Se 0.3945 0.8945 0.0000
Se 0.4020 0.0980 0.9482
Se 0.4020 0.4020 0.4482
Se 0.5980 0.5980 0.5518
Se 0.5980 0.9020 0.0518
Se 0.6055 0.1055 0.0000
Se 0.6055 0.3945 0.5000
Se 0.8945 0.1055 0.5000
Se 0.8945 0.3945 0.0000
Se 0.9020 0.5980 0.0518
Se 0.9020 0.9020 0.5518
Cl 0.0434 0.6517 0.6116
Cl 0.0434 0.8483 0.1116
Cl 0.1112 0.1112 0.1029
Cl 0.1112 0.3888 0.6029
Cl 0.1517 0.5434 0.3884
Cl 0.1517 0.9566 0.8884
Cl 0.3483 0.5434 0.8884
Cl 0.3483 0.9566 0.3884
Cl 0.3888 0.1112 0.6029
Cl 0.3888 0.3888 0.1029
Cl 0.4566 0.6517 0.1116
Cl 0.4566 0.8483 0.6116
Cl 0.5434 0.1517 0.3884
Cl 0.5434 0.3483 0.8884
Cl 0.6112 0.6112 0.8971
Cl 0.6112 0.8888 0.3971
Cl 0.6517 0.0434 0.6116
Cl 0.6517 0.4566 0.1116
Cl 0.8483 0.0434 0.1116
Cl 0.8483 0.4566 0.6116
Cl 0.8888 0.6112 0.3971
Cl 0.8888 0.8888 0.8971
Cl 0.9566 0.1517 0.8884
Cl 0.9566 0.3483 0.3884

Output
- Total DFT energy (no corrections): -3.051 eV per atom
- Formation energy from raw total energies: -0.29 eV/atom
- Space-group type: P4_2/ncm, No. 138


[3]
Below is a relaxed CaHgSb crystal, with properties calculated at the GGA-PBE level.

a b c (Å): 5.1311 5.1311 5.1311
angles (deg): 60.00 60.00 60.00
Atoms (fractional coordinates):
Ca 0.0000 0.0000 0.0000
Hg 0.2500 0.2500 0.2500
Sb 0.7500 0.7500 0.7500

Output
- Total DFT energy (no corrections): -2.515 eV per atom
- Formation energy from raw total energies: -0.37 eV/atom
- Space-group type: F-43m, No. 216


Copy entry 3 word for word.
Below is a relaxed CaHgSb crystal, with properties calculated at the GGA-PBE level.

a b c (Å): 5.1311 5.1311 5.1311
angles (deg): 60.00 60.00 60.00
Atoms (fractional coordinates):
Ca 0.0000 0.0000 0.0000
Hg 0.2500 0.2500 0.2500
Sb 0.7500 0.7500 0.7500

Output
- Total DFT energy (no corrections): -2.515 eV per atom
- Formation energy from raw total energies: -0.37 eV/atom
- Space-group type: F-43m, No. 216


- Number 1 is which compound?
  SmTm2Th


- Among the records above, which one has the lowest total DFT energy (no corrections)?
  SmTm2Th


- Which of these has the lowest total DFT energy (no corrections)?
  SmTm2Th